BaTi6O13 | meta-GGA SCAN | PBEsol geometry

a = 7.4593 Å, b = 7.5161 Å, c = 9.8698 Å
α = 72.49°, β = 74.53°, γ = 61.02°
Space group P-1 (No. 2)
Unique sites:
1 Ba 0.1752 0.0302 0.1307 x2
2 Ti 0.0918 0.1553 0.5029 x2
3 Ti 0.1811 0.3707 0.7520 x2
4 Ti 0.2550 0.5073 0.2790 x2
5 Ti 0.2899 0.5420 0.9810 x2
6 Ti 0.3683 0.7243 0.5029 x2
7 Ti 0.4241 0.9171 0.7678 x2
8 O 0.0457 0.4153 0.3743 x2
9 O 0.0616 0.6782 0.1401 x2
10 O 0.1007 0.8745 0.6005 x2
11 O 0.1271 0.5446 0.8719 x2
12 O 0.1912 0.7120 0.3769 x2
13 O 0.2239 0.1513 0.6403 x2
14 O 0.2412 0.8291 0.8915 x2
15 O 0.3326 0.9903 0.3863 x2
16 O 0.3424 0.2934 0.1400 x2
17 O 0.3757 0.1311 0.8541 x2
18 O 0.3812 0.4461 0.6093 x2
19 O 0.4446 0.5833 0.1171 x2
20 O 0.4826 0.2756 0.3669 x2

**Formation energy without anion corrections**: -3.36 eV per atom
**DOS(E_F)**: 0.00 states/eV/cell
**Final energy**: -14.20 eV per atom
**Total magnetic moment**: 0.00 μB per formula unit